1.
DFT (PBE) results for an optimized crystal structure of La2Pm2Er3.

Lattice parameters (Å, degrees): 6.400 11.820 6.380 90.00 97.16 90.00
Space group P2_1/c (No. 14)
Inequivalent atoms, fractional coordinates:
La 0.030 0.151 0.463 x4
Pm 0.402 0.720 0.705 x4
Er 0.244 0.039 0.963 x4
Er 0.500 0.000 0.500 x2

Results
energy of formation from the pure elements = 0.1757 eV/atom
M_tot = 0.0 μB per formula unit
density = 7.42 g cm⁻³
uncorrected energy = -63.6 eV per cell

=====

2.
DFT (PBE) results for an optimized crystal structure of La7PmEr3.

Lattice parameters (Å, degrees): 7.2973 7.2973 8.6414 90.00 90.00 120.00
Space group P3m1 (No. 156)
Inequivalent atoms, fractional coordinates:
La 0.0000 0.0000 0.0000 x1
La 0.0049 0.5025 0.9662 x3
La 0.1693 0.3387 0.3343 x3
Pm 0.6667 0.3333 0.3057 x1
Er 0.3341 0.1670 0.6500 x3

Results
energy of formation from the pure elements = 0.1766 eV/atom
M_tot = 0.0 μB per formula unit
density = 6.75 g cm⁻³
E above lowest polymorph = 0.000 eV/atom
uncorrected energy = -51.0 eV per cell